#A
SmScTc | PBE | relaxed

Values from the calculation:
- volume (Å³ per cell) = 69
- symmetry = I4mm (107)

abc: 3.417 3.417 6.411
angles: 105.46 105.46 90.00
Fractional coordinates of all 3 atoms:
Tc (0.677, 0.677, 0.354)
Sc (0.295, 0.295, 0.589)
Sm (0.028, 0.028, 0.057)

***

#B
SmScTc | PBE | relaxed

Values from the calculation:
- volume (Å³ per cell) = 296
- symmetry = Cmce (64)

abc: 6.496 6.993 7.366
angles: 90.00 90.00 117.68
Fractional coordinates of all 12 atoms:
Sc (0.793, 0.086, 0.250)
Sc (0.707, 0.914, 0.750)
Sc (0.293, 0.086, 0.250)
Sc (0.207, 0.914, 0.750)
Tc (0.597, 0.194, 0.529)
Tc (0.097, 0.194, 0.971)
Tc (0.903, 0.806, 0.029)
Tc (0.403, 0.806, 0.471)
Sm (0.194, 0.389, 0.613)
Sm (0.306, 0.611, 0.113)
Sm (0.694, 0.389, 0.887)
Sm (0.806, 0.611, 0.387)

***

Which is less stable than every other structure shown? #B is.